(1)
{
  "formula": "ScOs3F",
  "functional": "PBE-GGA",
  "state": "relaxed",
  "lattice": [[-1.4642, -1.6083, -4.1928], [-2.3012, -3.5183, 2.1532], [-3.8562, 2.7102, 0.3071]],
  "species": ["Os", "Os", "F", "Os", "Sc"],
  "frac_coords": [[0.0000, 0.0000, 0.5000], [0.0000, 0.5000, 0.0000], [0.5000, 0.5000, 0.5000], [0.5000, 0.0000, 0.0000], [0.0000, 0.0000, 0.0000]],
  "e_form_raw_kj_per_mol_atoms": 244.6,
  "crystal_system": "cubic",
  "space_group": "Pm-3m (221)"
}



(2)
{
  "formula": "LaHf3Cu",
  "functional": "PBE-GGA",
  "state": "relaxed",
  "lattice": [[-1.2145, 2.0199, 4.5466], [-2.0773, -4.4585, 1.4259], [4.5206, -1.5060, 1.8766]],
  "species": ["Cu", "Hf", "Hf", "Hf", "La"],
  "frac_coords": [[0.5000, 0.5000, 0.5000], [0.5000, 0.0000, 0.0000], [0.0000, 0.5000, 0.0000], [0.0000, 0.0000, 0.5000], [0.0000, 0.0000, 0.0000]],
  "crystal_system": "cubic",
  "delta_e_f_ev_per_atom": 1.802,
  "space_group": "Pm-3m (221)"
}



(3)
{
  "formula": "YZrZn2",
  "functional": "PBE-GGA",
  "state": "relaxed",
  "lattice": [[-1.5022, 2.7202, 1.4134], [0.9306, -1.4700, 3.8181], [5.2527, 2.9715, -0.1362]],
  "species": ["Zn", "Zr", "Y", "Zn"],
  "frac_coords": [[0.0000, 0.0000, 0.9919], [0.0000, 0.0000, 0.4545], [0.5000, 0.5000, 0.7791], [0.5000, 0.5000, 0.2745]],
  "crystal_system": "orthorhombic",
  "delta_e_f_ev_per_atom": -0.064,
  "space_group": "Pmm2 (25)"
}



(4)
{
  "formula": "SmErCd4",
  "functional": "PBE-GGA",
  "state": "relaxed",
  "lattice": [[3.2721, 1.0320, -0.0039], [1.7679, 5.8035, 0.0389], [0.0318, -0.0676, 8.6514]],
  "species": ["Sm", "Cd", "Cd", "Cd", "Cd", "Er"],
  "frac_coords": [[0.5012, 0.4972, 0.9981], [0.5012, 0.9973, 0.1686], [0.0015, 0.4973, 0.3340], [0.5012, 0.9973, 0.8279], [0.0014, 0.4973, 0.6621], [0.0013, 0.9973, 0.4982]],
  "crystal_system": "orthorhombic",
  "delta_e_f_ev_per_atom": -0.316,
  "space_group": "Pmmm (47)"
}



(5)
{
  "formula": "CaCdPt2",
  "functional": "PBE-GGA",
  "state": "relaxed",
  "lattice": [[3.0604, 0.0086, 0.0000], [-0.0101, 3.0604, 0.0000], [0.0000, 0.0000, 8.4202]],
  "species": ["Pt", "Pt", "Ca", "Cd"],
  "frac_coords": [[0.0000, 0.0000, 0.0126], [0.5000, 0.5000, 0.2321], [0.0000, 0.0000, 0.4696], [0.5000, 0.5000, 0.7857]],
  "crystal_system": "tetragonal",
  "delta_e_f_ev_per_atom": -0.269,
  "space_group": "P4mm (99)"
}



(6)
{
  "formula": "YAg2",
  "functional": "PBE-GGA",
  "state": "relaxed",
  "lattice": [[7.2709, 0.0036, 0.0000], [-6.2254, 3.7565, 0.0000], [0.0000, 0.0000, 4.8631]],
  "species": ["Y", "Ag", "Ag", "Ag", "Y", "Ag"],
  "frac_coords": [[0.6816, 0.3184, 0.0000], [0.0114, 0.9886, 0.0000], [0.3517, 0.6483, 0.0000], [0.5441, 0.4559, 0.5000], [0.8740, 0.1260, 0.5000], [0.2039, 0.7961, 0.5000]],
  "crystal_system": "orthorhombic",
  "delta_e_f_ev_per_atom": -0.237,
  "space_group": "Cmcm (63)"
}



(7)
{
  "formula": "NpScTcRh",
  "functional": "PBE-GGA",
  "state": "relaxed",
  "lattice": [[4.6738, 0.0000, 0.0000], [2.3369, 4.0476, 0.0000], [2.3369, 1.3492, 3.8161]],
  "species": ["Rh", "Np", "Sc", "Tc"],
  "frac_coords": [[0.2500, 0.2500, 0.2500], [0.5000, 0.5000, 0.5000], [0.0000, 0.0000, 0.0000], [0.7500, 0.7500, 0.7500]],
  "crystal_system": "cubic",
  "delta_e_f_ev_per_atom": -0.330,
  "space_group": "F-43m (216)"
}



(8)
{
  "formula": "KSb2",
  "functional": "PBE-GGA",
  "state": "relaxed",
  "lattice": [[-3.9368, 3.1127, -2.5073], [-1.4925, -4.1574, 3.4587], [0.0864, 4.3865, 5.3098]],
  "species": ["Sb", "Sb", "Sb", "Sb", "K", "K"],
  "frac_coords": [[0.3333, 0.6667, 0.7500], [0.0000, 0.0000, 0.0000], [0.0000, 0.0000, 0.5000], [0.6667, 0.3333, 0.2500], [0.3333, 0.6667, 0.2500], [0.6667, 0.3333, 0.7500]],
  "e_form_raw_kj_per_mol_atoms": 8.5,
  "crystal_system": "hexagonal",
  "space_group": "P6_3/mmc (194)"
}



| no. | raw total energy (eV for the cell shown) |
| --- | --- |
| 1 | -29.22 |
| 2 | -29.87 |
| 3 | -17.82 |
| 4 | -14.84 |
| 5 | -16.07 |
| 6 | -25.76 |
| 7 | -38.31 |
| 8 | -18.16 |